Computed, not measured: a relaxed structure of La8Pm4Sc at the PBE level of DFT.

Calculated values
E_form (kJ/mol of formula units): 465
Crystal system: trigonal
Calculated volume (Å³/f.u.): 479

abc: 11.877 11.877 7.899
angles: 90.00 138.75 120.00
Site moments in Bohr magnetons follow the coordinates.
Positions (direct):
La 0.843 0.670 0.016  0.01
La 0.486 0.243 0.730  0.10
La 0.655 0.827 0.984  0.01
La 0.514 0.757 0.270  0.10
La 0.157 0.827 0.984  0.01
La 0.345 0.173 0.016  0.01
La 0.843 0.173 0.016  0.01
La 0.157 0.330 0.984  0.01
Pm 0.000 0.000 0.000  0.14
Pm 0.500 0.000 0.000  0.02
Pm 0.500 0.500 0.000  0.02
Pm 0.000 0.500 0.000  0.02
Sc 0.000 0.500 0.500  0.17